5
Lattice="4.452 0.000 0.000 0.000 4.452 0.000 0.000 0.000 4.452" Properties=species:S:1:pos:R:3 comment="SbPdF3 PBE relaxed" total_magnetization_mub_per_fu=0.00 space_group=Pm-3m relative_energy_ev_per_fu=0.00 energy_ev_per_cell=-20.990 formation_energy_uncorrected_ev_per_atom=-1.2121 pbc="T T T"
Sb 0.000 0.000 0.000
Pd 2.226 2.226 2.226
F 0.000 0.000 2.226
F 0.000 2.226 0.000
F 2.226 0.000 0.000

6
Lattice="3.809 0.000 0.000 0.002 4.201 0.000 0.467 0.036 7.291" Properties=species:S:1:pos:R:3 comment="SbPdF PBE relaxed" total_magnetization_mub_per_fu=0.00 space_group=P-1 relative_energy_ev_per_fu=0.00 energy_ev_per_cell=-28.312 formation_energy_uncorrected_ev_per_atom=-0.9899 pbc="T T T"
Sb 0.876 1.050 1.825
Sb 3.402 3.187 5.466
Pd 0.943 3.151 0.207
Pd 3.335 1.087 7.084
F 1.141 3.174 4.016
F 3.137 1.063 3.275

5
Lattice="4.975 0.000 0.000 0.000 4.975 0.000 0.000 0.000 4.975" Properties=species:S:1:pos:R:3 comment="SbPd3F PBE relaxed" total_magnetization_mub_per_fu=0.00 space_group=Pm-3m relative_energy_ev_per_fu=1.86 energy_ev_per_cell=-19.791 formation_energy_uncorrected_ev_per_atom=0.3563 pbc="T T T"
Sb 0.000 0.000 0.000
Pd 0.000 0.000 2.488
Pd 0.000 2.488 0.000
Pd 2.488 0.000 0.000
F 2.488 2.488 2.488

5
Lattice="4.349 0.000 0.000 0.000 4.349 0.000 0.000 0.000 4.868" Properties=species:S:1:pos:R:3 comment="Si2SbPdF PBE relaxed" total_magnetization_mub_per_fu=0.00 space_group=P4/mmm energy_ev_per_cell=-20.895 formation_energy_uncorrected_ev_per_atom=0.2276 pbc="T T T"
Si 0.000 2.174 0.000
Si 2.174 0.000 0.000
Sb 0.000 0.000 2.434
Pd 2.174 2.174 2.434
F 0.000 0.000 0.000